Below is crystalline As3SN at its relaxed geometry, with properties calculated at the PBE-GGA level.

Results
electronic total energy = -17.51 eV per cell
offset from the most stable computed form = 4.03 eV/f.u.
D(E_F) = 4.3 states/eV per cell
space group = Pm-3m (221)
V = 22.3 Å³ per atom
magnetization = 1.92 μB per formula unit
formation energy without anion corrections = 41.00 kcal/mol of atoms

Lattice parameters (Å, degrees): 4.8161 4.8161 4.8161 90.00 90.00 90.00
Site moments in Bohr magnetons follow the coordinates.
Fractional positions:
As1 0.0000 0.5000 0.0000  0.00
As2 0.0000 0.0000 0.5000  -0.13
As3 0.5000 0.0000 0.0000  -0.01
S1 0.0000 0.0000 0.0000  -0.04
N1 0.5000 0.5000 0.5000  1.55